CaCo4O8: relaxed, PBE with a Hubbard U.

Cell and atoms, written as POSCAR:
```
CaCo4O8
1.0
6.411 0.010 0.007
3.918 5.075 0.007
3.918 1.929 4.694
O Ca Co
8 1 4
Cartesian
6.424 1.605 1.077
7.823 5.410 3.631
9.057 4.459 1.310
9.057 2.901 3.631
5.189 2.555 3.398
5.189 4.113 1.077
10.298 5.070 3.403
3.948 1.944 1.305
7.123 3.507 2.354
5.164 0.970 2.351
3.918 3.502 2.351
0.000 0.000 0.000
5.164 2.543 0.007
```

Results
- Total moment: 0.154 μB per atom
- Uncorrected energy: -5.990 eV per atom